RbCa2Sc: optimized geometry, GGA-PBE.

Results
ΔH_f (0 K) = 737 meV per atom
space group = No. 122
magnetic moment = 1.757 μB per formula unit

Cell lengths 5.252, 5.252, 13.522 Å; angles 78.80, 78.80, 90.00 degrees
Each line ends with the local moment (μB).
Atoms (fractional coordinates):
1 Sc 0.500 0.500 0.000  0.75
2 Sc 0.250 0.750 0.500  0.76
3 Ca 0.607 0.125 0.250  0.03
4 Ca 0.143 0.625 0.250  0.04
5 Ca 0.375 0.393 0.750  0.03
6 Ca 0.875 0.857 0.750  0.04
7 Rb 0.000 0.000 0.000  0.03
8 Rb 0.750 0.250 0.500  0.03